1.
An optimized crystal structure of TaMnH3, computed with PBE.

Unit cell a=3.5827 b=3.5827 c=3.5827 alpha=90.00 beta=90.00 gamma=90.00
Space group Pm-3m (No. 221)
Inequivalent atoms, fractional coordinates:
Ta: 0.0000 0.0000 0.0000 x1
Mn: 0.5000 0.5000 0.5000 x1
H: 0.0000 0.0000 0.5000 x3

Summary:
Its size of the total moment is 3.37 μB/f.u. The raw total energy is -5.93 eV/atom.

2.
An optimized crystal structure of NdBiH6Rh2, computed with PBE.

Unit cell a=9.0246 b=9.7385 c=6.2133 alpha=90.00 beta=122.88 gamma=90.00
Space group C2/c (No. 15)
Inequivalent atoms, fractional coordinates:
Nd: 0.0000 0.1493 0.2500 x4
Bi: 0.0000 0.3075 0.7500 x4
H: 0.1341 0.0171 0.0785 x8
H: 0.1631 0.4254 0.5090 x8
H: 0.2486 0.2059 0.7027 x8
Rh: 0.1616 0.4516 0.2392 x8

Summary:
Its size of the total moment is 0.00 μB/f.u. The raw total energy is -4.60 eV/atom.

3.
An optimized crystal structure of NdDy5In, computed with PBE.

Unit cell a=6.2679 b=6.5099 c=10.9921 alpha=90.00 beta=90.00 gamma=90.00
Space group Imm2 (No. 44)
Inequivalent atoms, fractional coordinates:
Nd: 0.0000 0.0000 0.0000 x2
Dy: 0.0000 0.2336 0.6223 x4
Dy: 0.0000 0.5000 0.3696 x2
Dy: 0.2437 0.0000 0.3447 x4
In: 0.0000 0.5000 0.0957 x2

Summary:
Its size of the total moment is 0.00 μB/f.u. The value obtained for the formation energy is 0.61 eV/f.u.